CaP2SO after structural relaxation. Source: Alexandria, functional PBE.

Crystal system: tetragonal

abc: 4.9834 4.9834 3.5022
angles: 90.00 90.00 90.00
Space group P4/mmm (No. 123)
Symmetry-distinct sites (fractional):
Ca (0.0000, 0.0000, 0.0000) [1 per cell]
P (0.0000, 0.5000, 0.5000) [2 per cell]
S (0.5000, 0.5000, 0.5000) [1 per cell]
O (0.5000, 0.5000, 0.0000) [1 per cell]

CaPSO2 after structural relaxation. Source: Alexandria, functional PBE.

Crystal system: tetragonal

abc: 4.0797 4.0797 7.9195
angles: 90.00 90.00 90.00
Space group P4/mmm (No. 123)
Symmetry-distinct sites (fractional):
Ca (0.0000, 0.0000, 0.0000) [1 per cell]
P (0.0000, 0.0000, 0.5000) [1 per cell]
S (0.5000, 0.5000, 0.5000) [1 per cell]
O (0.0000, 0.5000, 0.0000) [2 per cell]

CaP2SO after structural relaxation. Source: Alexandria, functional PBE.

Crystal system: tetragonal

abc: 5.3573 5.3573 4.0697
angles: 90.00 90.00 90.00
Space group P4/mmm (No. 123)
Symmetry-distinct sites (fractional):
Ca (0.0000, 0.0000, 0.0000) [1 per cell]
P (0.0000, 0.5000, 0.0000) [2 per cell]
S (0.5000, 0.5000, 0.5000) [1 per cell]
O (0.0000, 0.0000, 0.5000) [1 per cell]

CaP2SO after structural relaxation. Source: Alexandria, functional PBE.

Crystal system: tetragonal

abc: 3.8804 3.8804 6.5800
angles: 90.00 90.00 90.00
Space group P4/mmm (No. 123)
Symmetry-distinct sites (fractional):
Ca (0.0000, 0.0000, 0.0000) [1 per cell]
P (0.0000, 0.5000, 0.5000) [2 per cell]
S (0.5000, 0.5000, 0.0000) [1 per cell]
O (0.5000, 0.5000, 0.5000) [1 per cell]

CaPS2O after structural relaxation. Source: Alexandria, functional PBE.

Crystal system: tetragonal

abc: 4.8301 4.8301 3.7181
angles: 90.00 90.00 90.00
Space group P4/mmm (No. 123)
Symmetry-distinct sites (fractional):
Ca (0.0000, 0.0000, 0.0000) [1 per cell]
P (0.5000, 0.5000, 0.0000) [1 per cell]
S (0.0000, 0.5000, 0.5000) [2 per cell]
O (0.5000, 0.5000, 0.5000) [1 per cell]

CaPSO2 after structural relaxation. Source: Alexandria, functional PBE.

Crystal system: tetragonal

abc: 3.9864 3.9864 4.4978
angles: 90.00 90.00 90.00
Space group P4/mmm (No. 123)
Symmetry-distinct sites (fractional):
Ca (0.0000, 0.0000, 0.0000) [1 per cell]
P (0.5000, 0.5000, 0.0000) [1 per cell]
S (0.5000, 0.5000, 0.5000) [1 per cell]
O (0.0000, 0.5000, 0.5000) [2 per cell]

CaP2SO after structural relaxation. Source: Alexandria, functional PBE.

Crystal system: tetragonal

abc: 5.3598 5.3598 5.0717
angles: 90.00 90.00 90.00
Space group P4/mmm (No. 123)
Symmetry-distinct sites (fractional):
Ca (0.0000, 0.0000, 0.0000) [1 per cell]
P (0.0000, 0.5000, 0.0000) [2 per cell]
S (0.0000, 0.0000, 0.5000) [1 per cell]
O (0.5000, 0.5000, 0.5000) [1 per cell]

CaSbP2O after structural relaxation. Source: Alexandria, functional PBE.

Crystal system: tetragonal

abc: 5.2081 5.2081 3.9875
angles: 90.00 90.00 90.00
Space group P4/mmm (No. 123)
Symmetry-distinct sites (fractional):
Ca (0.0000, 0.0000, 0.0000) [1 per cell]
Sb (0.5000, 0.5000, 0.5000) [1 per cell]
P (0.0000, 0.5000, 0.5000) [2 per cell]
O (0.5000, 0.5000, 0.0000) [1 per cell]

CaSbPO2 after structural relaxation. Source: Alexandria, functional PBE.

Crystal system: tetragonal

abc: 4.0797 4.0797 5.1690
angles: 90.00 90.00 90.00
Space group P4/mmm (No. 123)
Symmetry-distinct sites (fractional):
Ca (0.0000, 0.0000, 0.0000) [1 per cell]
Sb (0.5000, 0.5000, 0.5000) [1 per cell]
P (0.5000, 0.5000, 0.0000) [1 per cell]
O (0.0000, 0.5000, 0.5000) [2 per cell]

CaSbP2O after structural relaxation. Source: Alexandria, functional PBE.

Crystal system: tetragonal

abc: 5.3246 5.3246 4.0937
angles: 90.00 90.00 90.00
Space group P4/mmm (No. 123)
Symmetry-distinct sites (fractional):
Ca (0.0000, 0.0000, 0.0000) [1 per cell]
Sb (0.5000, 0.5000, 0.5000) [1 per cell]
P (0.0000, 0.5000, 0.0000) [2 per cell]
O (0.0000, 0.0000, 0.5000) [1 per cell]

Ca4SbPO after structural relaxation. Source: Alexandria, functional PBE.

Crystal system: tetragonal

abc: 4.5917 4.5917 16.1089
angles: 90.00 90.00 90.00
Space group I4mm (No. 107)
Symmetry-distinct sites (fractional):
Ca (0.0000, 0.0000, 0.0000) [2 per cell]
Ca (0.0000, 0.0000, 0.3521) [2 per cell]
Ca (0.0000, 0.5000, 0.1947) [4 per cell]
Sb (0.0000, 0.0000, 0.5481) [2 per cell]
P (0.0000, 0.0000, 0.8207) [2 per cell]
O (0.0000, 0.0000, 0.2080) [2 per cell]

CaSbP2O8 after structural relaxation. Source: Alexandria, functional PBE.

Crystal system: trigonal

abc: 5.0394 5.0394 7.3007
angles: 90.00 90.00 120.00
Space group P-3 (No. 147)
Symmetry-distinct sites (fractional):
Ca (0.0000, 0.0000, 0.0000) [1 per cell]
Sb (0.0000, 0.0000, 0.5000) [1 per cell]
P (0.3333, 0.6667, 0.7672) [2 per cell]
O (0.0773, 0.3455, 0.6973) [6 per cell]
O (0.3333, 0.6667, 0.9747) [2 per cell]

| no. | formation energy without anion corrections (eV per formula unit) |
| --- | --- |
| 1 | -0.25 |
| 2 | 1.00 |
| 3 | 4.22 |
| 4 | -1.44 |
| 5 | -1.10 |
| 6 | -2.19 |
| 7 | 7.42 |
| 8 | -1.24 |
| 9 | -5.10 |
| 10 | 2.04 |
| 11 | -11.54 |
| 12 | -25.26 |